A relaxed LiBeZnTe crystal, computed with GGA-PBE.

Lattice parameters (Å, degrees): 3.8864 3.8864 5.9042 90.00 90.00 120.00
Closest atoms and distances in Å follow each position.
Positions (direct):
Zn 0.6667 0.3333 0.4789  3 Be 2.58, 3 Li 2.75
Li 0.3333 0.6667 0.2097  3 Zn 2.75, 2 Be 2.87-3.03, 3 Te 2.94
Be 0.3333 0.6667 0.6959  3 Te 2.51, 3 Zn 2.58
Te 0.0000 0.0000 0.8878  3 Be 2.51

Summary:
As for the symmetry: No. 156. As for the formation energy without anion corrections: -0.09 eV per atom. The calculation puts the volume at 19.31 Å³/atom. The total energy comes out at -10.42 eV per cell. The crystal system is trigonal. The value obtained for the total moment is 0.00 μB per cell. The relative energy among the computed polymorphs comes out at 0.025 eV per atom.